16
Lattice="9.0235 1.9907 -2.0836 6.4429 -1.8545 6.6916 -6.4724 -2.4570 -6.4653" Properties=species:S:1:pos:R:3 comment="GdGe2Ir, relaxed, DFT PBE" sg=Immm vol_a3_per_atom=19.5 m_tot_mub_per_cell=0.01 energy_ev_per_atom=-6.50 relative_energy_mev_per_atom=0 pbc="T T T"
Gd 3.1910 0.0281 0.9507
Ge 4.7563 -0.2775 -4.6668
Gd 1.9503 -0.3564 -6.5354
Ge 7.8115 -0.1755 -2.3272
Ge 1.1825 -2.1452 0.4699
Ir 10.6209 -0.0281 0.8466
Gd 0.6009 -0.1098 -2.0136
Ir 6.1159 -0.0678 -0.4957
Ge 6.5237 0.0575 1.9437
Gd 12.2754 0.1081 3.6573
Ir -1.6269 -2.2926 -2.7039
Ge 3.9728 -0.1343 -2.0415
Ge 8.9427 0.0788 2.6643
Ir 2.8782 -2.2529 -1.3616
Ge 5.0212 -2.1864 0.1842
Ge 4.2377 -2.0432 2.8095